Entry 1:
Below is Y2CuF2 after structural relaxation, with properties calculated at the GGA-PBE level.

Cell lengths 7.3967, 7.3967, 2.9645 Å; angles 90.00, 90.00, 90.00 degrees
Last column: nearest neighbours and their distance in Å.
Positions (direct):
Cu 0.0000 0.0000 0.0000  2 Cu 2.96, 4 F 2.98, 8 Y 3.07
Cu 0.5000 0.5000 0.0000  2 Cu 2.96, 4 F 2.98, 8 Y 3.07
F 0.8862 0.6138 0.0000  1 F 2.38, 2 Y 2.52
F 0.3862 0.8862 0.0000  1 F 2.38, 2 Y 2.52
F 0.6138 0.1138 0.0000  1 F 2.38, 2 Y 2.52
F 0.1138 0.3862 0.0000  1 F 2.38, 2 Y 2.52
Y 0.8084 0.3084 0.5000  6 F 2.52-2.76
Y 0.6916 0.8084 0.5000  6 F 2.52-2.76
Y 0.3084 0.1916 0.5000  6 F 2.52-2.76
Y 0.1916 0.6916 0.5000  6 F 2.52-2.76

Calculated values
As for the energy above the most stable polymorph in this dataset: 0.090 eV per atom. The calculation puts the density of states at the Fermi level at 8.1 states/eV/cell. The magnetization is 0.00 μB/cell. The calculation puts the uncorrected formation energy at -1.6408 eV per atom.

---

Entry 2:
Below is TiBe2V after structural relaxation, with properties calculated at the GGA-PBE level.

Cell lengths 2.9795, 2.9795, 5.2720 Å; angles 90.00, 90.00, 90.00 degrees
Last column: nearest neighbours and their distance in Å.
Positions (direct):
Be 0.0000 0.0000 0.2725  1 Be 2.40, 4 V 2.42, 4 Ti 2.55
Be 0.0000 0.0000 0.7275  1 Be 2.40, 4 V 2.42, 4 Ti 2.55
Ti 0.5000 0.5000 0.0000  8 Be 2.55, 2 V 2.64
V 0.5000 0.5000 0.5000  8 Be 2.42, 2 Ti 2.64

Calculated values
As for the energy above the most stable polymorph in this dataset: 0.004 eV per atom. The calculation puts the density of states at the Fermi level at 2.6 states/eV/cell. The magnetization is 0.00 μB/cell. The energy of formation comes out at -0.0521 eV per atom.

---

Entry 3:
Below is MoRu3Rh3 after structural relaxation, with properties calculated at the GGA-PBE level.

Cell lengths 4.3542, 7.2732, 7.2732 Å; angles 120.00, 90.00, 90.00 degrees
Last column: nearest neighbours and their distance in Å.
Positions (direct):
Rh 0.2500 0.0468 0.8060  5 Ru 2.68-2.75, 6 Rh 2.71-2.79, 1 Mo 2.73
Rh 0.2500 0.1940 0.2409  5 Ru 2.68-2.75, 6 Rh 2.71-2.79, 1 Mo 2.73
Rh 0.7500 0.9532 0.1940  5 Ru 2.68-2.75, 6 Rh 2.71-2.79, 1 Mo 2.73
Rh 0.7500 0.2409 0.0468  5 Ru 2.68-2.75, 6 Rh 2.71-2.79, 1 Mo 2.73
Rh 0.7500 0.8060 0.7591  5 Ru 2.68-2.75, 6 Rh 2.71-2.79, 1 Mo 2.73
Rh 0.2500 0.7591 0.9532  5 Ru 2.68-2.75, 6 Rh 2.71-2.79, 1 Mo 2.73
Mo 0.2500 0.3333 0.6667  9 Ru 2.70-2.74, 3 Rh 2.73
Mo 0.7500 0.6667 0.3333  9 Ru 2.70-2.74, 3 Rh 2.73
Ru 0.2500 0.6182 0.5242  5 Rh 2.68-2.75, 4 Ru 2.69-2.76, 3 Mo 2.70-2.74
Ru 0.7500 0.3818 0.4758  5 Rh 2.68-2.75, 4 Ru 2.69-2.76, 3 Mo 2.70-2.74
Ru 0.7500 0.5242 0.9060  5 Rh 2.68-2.75, 4 Ru 2.69-2.76, 3 Mo 2.70-2.74
Ru 0.7500 0.0940 0.6182  5 Rh 2.68-2.75, 4 Ru 2.69-2.76, 3 Mo 2.70-2.74
Ru 0.2500 0.9060 0.3818  5 Rh 2.68-2.75, 4 Ru 2.69-2.76, 3 Mo 2.70-2.74
Ru 0.2500 0.4758 0.0940  5 Rh 2.68-2.75, 4 Ru 2.69-2.76, 3 Mo 2.70-2.74

Calculated values
The calculation puts the density of states at the Fermi level at 12.7 states/eV/cell. The magnetization is 0.00 μB/cell. The energy of formation comes out at -0.0611 eV per atom.

---

Entry 4:
Below is SrFeSe2 after structural relaxation, with properties calculated at the GGA-PBE level.

Cell lengths 3.6650, 4.0736, 6.8822 Å; angles 87.76, 90.00, 90.00 degrees
Last column: nearest neighbours and their distance in Å.
Positions (direct):
Se 0.0000 0.7321 0.5041  2 Fe 2.50
Se 0.0000 0.7679 0.9959  2 Fe 2.50
Sr 0.5000 0.2500 0.2500  8 Se 3.25
Fe 0.5000 0.7500 0.7500  4 Se 2.50

Calculated values
As for the energy above the most stable polymorph in this dataset: 0.067 eV per atom. The calculation puts the density of states at the Fermi level at 3.6 states/eV/cell. The magnetization is 3.32 μB/cell. The calculation puts the uncorrected formation energy at -0.7931 eV per atom.

---

Entry 5:
Below is UTl2HgS6 after structural relaxation, with properties calculated at the GGA-PBE level.

Cell lengths 7.1660, 7.1640, 9.0247 Å; angles 73.21, 56.56, 53.06 degrees
Last column: nearest neighbours and their distance in Å.
Positions (direct):
S 0.5500 0.2901 0.1523  1 Tl 2.47, 1 U 2.64
S 0.9387 0.6046 0.1957  1 U 2.41
S 0.7997 0.0746 0.7097  1 U 2.43
S 0.1615 0.3576 0.7616  1 Hg 2.40
S 0.2711 0.9959 0.1364  1 Hg 2.42, 1 U 2.68
S 0.4456 0.6586 0.7629  1 Tl 2.48, 1 U 2.68
Tl 0.3780 0.6421 0.4510  6 S 3.15-3.42
Tl 0.0350 0.0154 0.9579  2 S 2.47-2.48
Hg 0.7212 0.6938 0.9318  2 S 2.40-2.42
U 0.3608 0.3288 0.9559  5 S 2.41-2.68

Calculated values
The magnetization is 0.00 μB/cell. The calculation puts the uncorrected formation energy at -0.5187 eV per atom.

---

Entry 6:
Below is CsRbScI2 after structural relaxation, with properties calculated at the GGA-PBE level.

Cell lengths 7.0272, 7.3119, 7.0272 Å; angles 90.00, 90.00, 90.00 degrees
Last column: nearest neighbours and their distance in Å.
Positions (direct):
I 0.5000 0.0000 0.0000  2 Cs 3.51
I 0.0000 0.0000 0.5000  2 Cs 3.51
Sc 0.5000 0.5000 0.5000  4 Rb 4.97, 8 I 5.07
Cs 0.0000 0.0000 0.0000  4 I 3.51, 2 Rb 3.66
Rb 0.0000 0.5000 0.0000  2 Cs 3.66

Calculated values
The calculation puts the density of states at the Fermi level at 0.0 states/eV/cell. The magnetization is 1.00 μB/cell. The calculation puts the uncorrected formation energy at 0.0028 eV per atom.

---

Entry 7:
Below is SrLi3Pt3 after structural relaxation, with properties calculated at the GGA-PBE level.

Cell lengths 6.5865, 6.5865, 6.5865 Å; angles 90.00, 90.00, 90.00 degrees
Last column: nearest neighbours and their distance in Å.
Positions (direct):
Pt 0.0000 0.5000 0.7500  4 Li 2.33
Pt 0.2500 0.0000 0.5000  4 Li 2.33
Pt 0.7500 0.0000 0.5000  4 Li 2.33
Pt 0.5000 0.2500 0.0000  4 Li 2.33
Pt 0.5000 0.7500 0.0000  4 Li 2.33
Pt 0.0000 0.5000 0.2500  4 Li 2.33
Li 0.5000 0.0000 0.2500  4 Pt 2.33
Li 0.7500 0.5000 0.0000  4 Pt 2.33
Li 0.2500 0.5000 0.0000  4 Pt 2.33
Li 0.0000 0.7500 0.5000  4 Pt 2.33
Li 0.5000 0.0000 0.7500  4 Pt 2.33
Li 0.0000 0.2500 0.5000  4 Pt 2.33
Sr 0.5000 0.5000 0.5000  12 Li 3.68, 12 Pt 3.68
Sr 0.0000 0.0000 0.0000  12 Li 3.68, 12 Pt 3.68

Calculated values
The calculation puts the density of states at the Fermi level at 5.7 states/eV/cell. The magnetization is 0.00 μB/cell. The energy of formation comes out at -0.0934 eV per atom.

---

Entry 8:
Below is CaCrCo2 after structural relaxation, with properties calculated at the GGA-PBE level.

Cell lengths 2.7816, 3.3757, 6.6286 Å; angles 90.00, 90.00, 90.00 degrees
Last column: nearest neighbours and their distance in Å.
Positions (direct):
Cr 0.0000 0.0000 0.4102  5 Co 2.24-2.41
Co 0.5000 0.5000 0.2560  4 Cr 2.41, 4 Co 2.50
Co 0.0000 0.0000 0.0725  1 Cr 2.24, 4 Co 2.50
Ca 0.5000 0.5000 0.7613  2 Ca 2.78, 4 Co 3.01

Calculated values
As for the energy above the most stable polymorph in this dataset: 0.248 eV per atom. The calculation puts the density of states at the Fermi level at 4.7 states/eV/cell. The magnetization is 3.29 μB/cell. The energy of formation comes out at 0.5196 eV per atom.

---

Entry 9:
Below is RbHg2Ir after structural relaxation, with properties calculated at the GGA-PBE level.

Cell lengths 5.1809, 5.1809, 5.1809 Å; angles 60.00, 60.00, 60.00 degrees
Last column: nearest neighbours and their distance in Å.
Positions (direct):
Ir 0.5000 0.5000 0.5000  8 Hg 3.17
Hg 0.7500 0.7500 0.7500  4 Ir 3.17, 4 Rb 3.17
Hg 0.2500 0.2500 0.2500  4 Ir 3.17, 4 Rb 3.17
Rb 0.0000 0.0000 0.0000  8 Hg 3.17

Calculated values
As for the energy above the most stable polymorph in this dataset: 0.283 eV per atom. The calculation puts the density of states at the Fermi level at 2.8 states/eV/cell. The magnetization is 0.00 μB/cell. The energy of formation comes out at 0.6319 eV per atom.

---

Entry 10:
Below is GaTcS after structural relaxation, with properties calculated at the GGA-PBE level.

Cell lengths 3.0806, 3.0806, 11.4721 Å; angles 90.00, 90.00, 120.00 degrees
Last column: nearest neighbours and their distance in Å.
Positions (direct):
Tc 0.4448 0.8896 0.5000  6 S 2.43
Tc 0.4441 0.8881 0.0000  6 Ga 2.58
S 0.7782 0.5564 0.6444  3 Tc 2.43
S 0.7782 0.5564 0.3556  3 Tc 2.43
Ga 0.1107 0.2214 0.8370  3 Tc 2.58, 3 S 2.83-2.84
Ga 0.1107 0.2214 0.1630  3 Tc 2.58, 3 S 2.83-2.84

Calculated values
The calculation puts the density of states at the Fermi level at 5.3 states/eV/cell. The magnetization is 0.00 μB/cell. The calculation puts the uncorrected formation energy at -0.1162 eV per atom.

---

Q: Which value of magnetization does entry 10 give?
A: 0.00 μB/cell